A geometry-optimized Rb3Na2NpO6 structure. Source: Alexandria via LeMat-Bulk, functional PBE.

a b c (Å): 6.182 6.182 6.662
angles (deg): 98.50 98.50 120.07
Positions (direct):
Rb1 0.000 0.000 0.000
Rb2 0.322 0.678 0.000
Rb3 0.678 0.322 0.000
Na1 0.167 0.833 0.500
Na2 0.833 0.167 0.500
Np1 0.500 0.500 0.500
O1 0.165 0.438 0.319
O2 0.294 0.294 0.691
O3 0.438 0.165 0.319
O4 0.562 0.835 0.681
O5 0.706 0.706 0.309
O6 0.835 0.562 0.681

## Properties
* space group: No. 12
* formation energy from raw total energies: -2.011 eV/atom
* ρ: 5.0 g/cm3

A geometry-optimized RbNa2NpO6 structure. Source: Alexandria via LeMat-Bulk, functional PBE.

a b c (Å): 6.517 6.517 6.517
angles (deg): 55.18 55.18 55.18
Positions (direct):
Rb1 0.000 0.000 0.000
Na1 0.275 0.275 0.275
Na2 0.795 0.795 0.795
Np1 0.480 0.480 0.480
O1 0.134 0.641 0.448
O2 0.281 0.539 0.821
O3 0.448 0.134 0.641
O4 0.539 0.821 0.281
O5 0.641 0.448 0.134
O6 0.821 0.281 0.539

## Properties
* space group: No. 146
* formation energy from raw total energies: -1.801 eV/atom
* ρ: 4.4 g/cm3

A geometry-optimized Rb3NaNp2O9 structure. Source: Alexandria via LeMat-Bulk, functional PBE.

a b c (Å): 6.193 6.193 7.650
angles (deg): 90.00 90.00 120.00
Positions (direct):
Rb1 0.000 0.000 0.000
Rb2 0.333 0.667 0.649
Rb3 0.667 0.333 0.351
Na1 0.000 0.000 0.500
Np1 0.333 0.667 0.158
Np2 0.667 0.333 0.842
O1 0.000 0.500 0.000
O2 0.185 0.369 0.303
O3 0.185 0.815 0.303
O4 0.369 0.185 0.697
O5 0.500 0.000 0.000
O6 0.500 0.500 0.000
O7 0.631 0.815 0.303
O8 0.815 0.185 0.697
O9 0.815 0.631 0.697

## Properties
* space group: No. 164
* formation energy from raw total energies: -2.314 eV/atom
* ρ: 5.9 g/cm3

Results for magnetic moment: 0.000, 0.209, 0.000 (in μB/atom, following the order of the records).